Record 1
# Sm2HgO4 (PBEsol, optimized geometry)
data_Sm2HgO4
_cell_length_a 13.6732
_cell_length_b 3.7168
_cell_length_c 10.1485
_cell_angle_alpha 90.00
_cell_angle_beta 121.85
_cell_angle_gamma 90.00
_symmetry_space_group_name_H-M 'C 1 2/m 1'
_symmetry_Int_Tables_number 12
loop_
_symmetry_equiv_pos_as_xyz
'x,y,z'
'-x,-y,-z'
'-x,y,-z'
'x,-y,z'
'x+1/2,y+1/2,z'
'-x+1/2,-y+1/2,-z'
'-x+1/2,y+1/2,-z'
'x+1/2,-y+1/2,z'
loop_
_atom_site_label
_atom_site_fract_x
_atom_site_fract_y
_atom_site_fract_z
_atom_site_occupancy
Sm1 0.1192 0.0000 0.4598 1
Sm2 0.1607 0.5000 0.7997 1
Hg1 0.1140 0.5000 0.1619 1
O1 0.0352 0.5000 0.2807 1
O2 0.0814 0.0000 0.6530 1
O3 0.2025 0.5000 0.0556 1
O4 0.2318 0.5000 0.6135 1
# Crystal system = monoclinic
# ΔE_f (raw) = -2616 meV/atom
# Electronic total energy = -7.15 eV/atom



Record 2
# Sc2ReGe2 (PBEsol, optimized geometry)
data_Sc2ReGe2
_cell_length_a 6.6306
_cell_length_b 6.6306
_cell_length_c 3.8336
_cell_angle_alpha 90.00
_cell_angle_beta 90.00
_cell_angle_gamma 90.00
_symmetry_space_group_name_H-M 'P 4/m b m'
_symmetry_Int_Tables_number 127
_symmetry_space_group_name_Hall '-P 4 2ab'
loop_
_atom_site_label
_atom_site_fract_x
_atom_site_fract_y
_atom_site_fract_z
_atom_site_occupancy
Sc1 0.1746 0.3254 0.0000 1
Re1 0.0000 0.0000 0.5000 1
Ge1 0.1327 0.6327 0.5000 1
# Crystal system = tetragonal
# Energy relative to the elements = -0.680 eV per atom
# Electronic total energy = -7.96 eV/atom



Record 3
# Cs5Te3 (PBEsol, optimized geometry)
data_Cs5Te3
_cell_length_a 14.6961
_cell_length_b 14.6961
_cell_length_c 6.9074
_cell_angle_alpha 90.00
_cell_angle_beta 90.00
_cell_angle_gamma 90.00
_symmetry_space_group_name_H-M 'I 4/m'
_symmetry_Int_Tables_number 87
_symmetry_space_group_name_Hall '-I 4'
loop_
_atom_site_label
_atom_site_fract_x
_atom_site_fract_y
_atom_site_fract_z
_atom_site_occupancy
Cs1 0.0000 0.5000 0.2500 1
Cs2 0.0875 0.7831 0.0000 1
Cs3 0.0910 0.2261 0.5000 1
Te1 0.0000 0.0000 0.2974 1
Te2 0.1562 0.3430 0.0000 1
# Crystal system = tetragonal
# ΔE_f (raw) = -984 meV/atom
# Electronic total energy = -2.90 eV/atom



Record 4
# Mg2TcAu2 (PBEsol, optimized geometry)
data_Mg2TcAu2
_cell_length_a 3.8743
_cell_length_b 3.8743
_cell_length_c 12.4622
_cell_angle_alpha 90.00
_cell_angle_beta 90.00
_cell_angle_gamma 90.00
_symmetry_space_group_name_H-M 'I 4/m m m'
_symmetry_Int_Tables_number 139
_symmetry_space_group_name_Hall '-I 4 2'
loop_
_atom_site_label
_atom_site_fract_x
_atom_site_fract_y
_atom_site_fract_z
_atom_site_occupancy
Mg1 0.0000 0.5000 0.2500 1
Tc1 0.0000 0.0000 0.0000 1
Au1 0.0000 0.0000 0.3956 1
# Crystal system = tetragonal
# Energy relative to the elements = 0.400 eV per atom
# Electronic total energy = -4.11 eV/atom



Record 5
# ZnInW (PBEsol, optimized geometry)
data_ZnInW
_cell_length_a 2.8493
_cell_length_b 3.7176
_cell_length_c 9.5288
_cell_angle_alpha 90.00
_cell_angle_beta 90.00
_cell_angle_gamma 90.00
_symmetry_space_group_name_H-M 'I m m 2'
_symmetry_Int_Tables_number 44
loop_
_symmetry_equiv_pos_as_xyz
'x,y,z'
'-x,-y,z'
'-x,y,z'
'x,-y,z'
'x+1/2,y+1/2,z+1/2'
'-x+1/2,-y+1/2,z+1/2'
'-x+1/2,y+1/2,z+1/2'
'x+1/2,-y+1/2,z+1/2'
loop_
_atom_site_label
_atom_site_fract_x
_atom_site_fract_y
_atom_site_fract_z
_atom_site_occupancy
Zn1 0.0000 0.0000 0.0000 1
In1 0.0000 0.0000 0.6798 1
W1 0.0000 0.0000 0.3647 1
# Crystal system = orthorhombic
# Energy relative to the elements = 0.531 eV per atom
# Electronic total energy = -5.59 eV/atom



Record 6
# K2BAsOs (PBEsol, optimized geometry)
data_K2BAsOs
_cell_length_a 6.3626
_cell_length_b 6.3626
_cell_length_c 3.5397
_cell_angle_alpha 90.00
_cell_angle_beta 90.00
_cell_angle_gamma 90.00
_symmetry_space_group_name_H-M 'P 4/m m m'
_symmetry_Int_Tables_number 123
_symmetry_space_group_name_Hall '-P 4 2'
loop_
_atom_site_label
_atom_site_fract_x
_atom_site_fract_y
_atom_site_fract_z
_atom_site_occupancy
K1 0.0000 0.5000 0.0000 1
B1 0.0000 0.0000 0.5000 1
As1 0.0000 0.0000 0.0000 1
Os1 0.5000 0.5000 0.5000 1
# Crystal system = tetragonal
# Energy relative to the elements = 1.622 eV per atom
# Electronic total energy = -3.70 eV/atom



Record 7
# Lu2MgIn (PBEsol, optimized geometry)
data_Lu2MgIn
_cell_length_a 7.2667
_cell_length_b 7.2667
_cell_length_c 7.2667
_cell_angle_alpha 90.00
_cell_angle_beta 90.00
_cell_angle_gamma 90.00
_symmetry_space_group_name_H-M 'F m -3 m'
_symmetry_Int_Tables_number 225
_symmetry_space_group_name_Hall '-F 4 2 3'
loop_
_atom_site_label
_atom_site_fract_x
_atom_site_fract_y
_atom_site_fract_z
_atom_site_occupancy
Lu1 0.2500 0.2500 0.2500 1
Mg1 0.0000 0.0000 0.0000 1
In1 0.0000 0.0000 0.5000 1
# Crystal system = cubic
# Energy relative to the elements = -0.293 eV per atom
# Electronic total energy = -3.90 eV/atom



Record 8
# CdSb2Rh (PBEsol, optimized geometry)
data_CdSb2Rh
_cell_length_a 4.2002
_cell_length_b 3.2951
_cell_length_c 6.5697
_cell_angle_alpha 90.00
_cell_angle_beta 108.55
_cell_angle_gamma 90.00
_symmetry_space_group_name_H-M 'P 1 m 1'
_symmetry_Int_Tables_number 6
loop_
_symmetry_equiv_pos_as_xyz
'x,y,z'
'x,-y,z'
loop_
_atom_site_label
_atom_site_fract_x
_atom_site_fract_y
_atom_site_fract_z
_atom_site_occupancy
Cd1 0.0000 0.0000 0.0000 1
Sb1 0.3901 0.5000 0.7792 1
Sb2 0.7114 0.0000 0.4278 1
Rh1 0.1769 0.5000 0.3594 1
# Crystal system = monoclinic
# ΔE_f (raw) = -73 meV/atom
# Electronic total energy = -4.69 eV/atom



Record 9
# Ti2Be2Nb (PBEsol, optimized geometry)
data_Ti2Be2Nb
_cell_length_a 6.7956
_cell_length_b 6.7956
_cell_length_c 2.9443
_cell_angle_alpha 90.00
_cell_angle_beta 90.00
_cell_angle_gamma 90.00
_symmetry_space_group_name_H-M 'P 4/m b m'
_symmetry_Int_Tables_number 127
_symmetry_space_group_name_Hall '-P 4 2ab'
loop_
_atom_site_label
_atom_site_fract_x
_atom_site_fract_y
_atom_site_fract_z
_atom_site_occupancy
Ti1 0.1801 0.3199 0.0000 1
Be1 0.1131 0.6131 0.5000 1
Nb1 0.0000 0.0000 0.5000 1
# Crystal system = tetragonal
# Energy relative to the elements = -0.033 eV per atom
# Electronic total energy = -7.13 eV/atom



Record 10
# LiReAs2 (PBEsol, optimized geometry)
data_LiReAs2
_cell_length_a 3.2058
_cell_length_b 3.8816
_cell_length_c 4.7737
_cell_angle_alpha 90.00
_cell_angle_beta 90.00
_cell_angle_gamma 90.00
_symmetry_space_group_name_H-M 'P m m m'
_symmetry_Int_Tables_number 47
loop_
_symmetry_equiv_pos_as_xyz
'x,y,z'
'-x,-y,-z'
'-x,-y,z'
'x,y,-z'
'x,-y,-z'
'-x,y,z'
'-x,y,-z'
'x,-y,z'
loop_
_atom_site_label
_atom_site_fract_x
_atom_site_fract_y
_atom_site_fract_z
_atom_site_occupancy
Li1 0.0000 0.0000 0.0000 1
Re1 0.5000 0.0000 0.5000 1
As1 0.0000 0.5000 0.5000 1
As2 0.5000 0.5000 0.0000 1
# Crystal system = orthorhombic
# Energy relative to the elements = 0.266 eV per atom
# Electronic total energy = -6.11 eV/atom



Record 11
# ZrZn2 (PBEsol, optimized geometry)
data_ZrZn2
_cell_length_a 2.9736
_cell_length_b 2.9736
_cell_length_c 11.0955
_cell_angle_alpha 90.00
_cell_angle_beta 90.00
_cell_angle_gamma 90.00
_symmetry_space_group_name_H-M 'I 4/m m m'
_symmetry_Int_Tables_number 139
_symmetry_space_group_name_Hall '-I 4 2'
loop_
_atom_site_label
_atom_site_fract_x
_atom_site_fract_y
_atom_site_fract_z
_atom_site_occupancy
Zr1 0.0000 0.0000 0.0000 1
Zn1 0.0000 0.0000 0.3202 1
# Crystal system = tetragonal
# Energy relative to the elements = -0.236 eV per atom
# Electronic total energy = -4.32 eV/atom



Record 12
# BPdIN2 (PBEsol, optimized geometry)
data_BPdIN2
_cell_length_a 3.4371
_cell_length_b 3.4371
_cell_length_c 6.9228
_cell_angle_alpha 90.00
_cell_angle_beta 90.00
_cell_angle_gamma 90.00
_symmetry_space_group_name_H-M 'P 4/m m m'
_symmetry_Int_Tables_number 123
_symmetry_space_group_name_Hall '-P 4 2'
loop_
_atom_site_label
_atom_site_fract_x
_atom_site_fract_y
_atom_site_fract_z
_atom_site_occupancy
B1 0.0000 0.0000 0.0000 1
Pd1 0.5000 0.5000 0.5000 1
I1 0.0000 0.0000 0.5000 1
N1 0.0000 0.5000 0.0000 1
# Crystal system = tetragonal
# ΔE_f (raw) = 1436 meV/atom
# Electronic total energy = -4.92 eV/atom



Record 13
# FeAgIr (PBEsol, optimized geometry)
data_FeAgIr
_cell_length_a 4.3064
_cell_length_b 4.3064
_cell_length_c 2.6708
_cell_angle_alpha 90.00
_cell_angle_beta 90.00
_cell_angle_gamma 120.00
_symmetry_space_group_name_H-M 'P 3 m 1'
_symmetry_Int_Tables_number 156
loop_
_symmetry_equiv_pos_as_xyz
'x,y,z'
'-y,x-y,z'
'-x+y,-x,z'
'-y,-x,z'
'-x+y,y,z'
'x,x-y,z'
loop_
_atom_site_label
_atom_site_fract_x
_atom_site_fract_y
_atom_site_fract_z
_atom_site_occupancy
Fe1 0.0000 0.0000 0.0000 1
Ag1 0.3333 0.6667 0.6771 1
Ir1 0.6667 0.3333 0.2363 1
# Crystal system = trigonal
# Energy relative to the elements = 0.382 eV per atom
# Electronic total energy = -6.98 eV/atom



Record 14
# Zr3AlTc (PBEsol, optimized geometry)
data_Zr3AlTc
_cell_length_a 4.8351
_cell_length_b 4.8351
_cell_length_c 4.8351
_cell_angle_alpha 90.00
_cell_angle_beta 90.00
_cell_angle_gamma 90.00
_symmetry_space_group_name_H-M 'P m -3 m'
_symmetry_Int_Tables_number 221
_symmetry_space_group_name_Hall '-P 4 2 3'
loop_
_atom_site_label
_atom_site_fract_x
_atom_site_fract_y
_atom_site_fract_z
_atom_site_occupancy
Zr1 0.0000 0.0000 0.5000 1
Al1 0.0000 0.0000 0.0000 1
Tc1 0.5000 0.5000 0.5000 1
# Crystal system = cubic
# Energy relative to the elements = 1.209 eV per atom
# Electronic total energy = -7.32 eV/atom



Record 15
# Eu2AgBi (PBEsol, optimized geometry)
data_Eu2AgBi
_cell_length_a 7.6718
_cell_length_b 7.6718
_cell_length_c 7.6718
_cell_angle_alpha 90.00
_cell_angle_beta 90.00
_cell_angle_gamma 90.00
_symmetry_space_group_name_H-M 'F m -3 m'
_symmetry_Int_Tables_number 225
_symmetry_space_group_name_Hall '-F 4 2 3'
loop_
_atom_site_label
_atom_site_fract_x
_atom_site_fract_y
_atom_site_fract_z
_atom_site_occupancy
Eu1 0.2500 0.2500 0.2500 1
Ag1 0.0000 0.0000 0.0000 1
Bi1 0.0000 0.0000 0.5000 1
# Crystal system = cubic
# Energy relative to the elements = -0.637 eV per atom
# Electronic total energy = -7.82 eV/atom



Record 16
# ScBi3O (PBEsol, optimized geometry)
data_ScBi3O
_cell_length_a 5.4370
_cell_length_b 5.4370
_cell_length_c 5.4370
_cell_angle_alpha 90.00
_cell_angle_beta 90.00
_cell_angle_gamma 90.00
_symmetry_space_group_name_H-M 'P m -3 m'
_symmetry_Int_Tables_number 221
_symmetry_space_group_name_Hall '-P 4 2 3'
loop_
_atom_site_label
_atom_site_fract_x
_atom_site_fract_y
_atom_site_fract_z
_atom_site_occupancy
Sc1 0.0000 0.0000 0.0000 1
Bi1 0.0000 0.0000 0.5000 1
O1 0.5000 0.5000 0.5000 1
# Crystal system = cubic
# ΔE_f (raw) = 636 meV/atom
# Electronic total energy = -4.31 eV/atom



Record 17
# AlCr2 (PBEsol, optimized geometry)
data_AlCr2
_cell_length_a 2.9807
_cell_length_b 12.0261
_cell_length_c 4.2302
_cell_angle_alpha 90.00
_cell_angle_beta 90.00
_cell_angle_gamma 90.00
_symmetry_space_group_name_H-M 'C m c m'
_symmetry_Int_Tables_number 63
_symmetry_space_group_name_Hall '-C 2c 2'
loop_
_atom_site_label
_atom_site_fract_x
_atom_site_fract_y
_atom_site_fract_z
_atom_site_occupancy
Al1 0.0000 0.0849 0.2500 1
Cr1 0.0000 0.2344 0.7500 1
Cr2 0.0000 0.4061 0.2500 1
# Crystal system = orthorhombic
# Energy relative to the elements = -0.038 eV per atom
# Electronic total energy = -8.23 eV/atom



Record 18
# Zn2TeP (PBEsol, optimized geometry)
data_Zn2TeP
_cell_length_a 3.7408
_cell_length_b 3.7408
_cell_length_c 11.0124
_cell_angle_alpha 90.00
_cell_angle_beta 90.00
_cell_angle_gamma 90.00
_symmetry_space_group_name_H-M 'I -4 m 2'
_symmetry_Int_Tables_number 119
_symmetry_space_group_name_Hall 'I -4 -2'
loop_
_atom_site_label
_atom_site_fract_x
_atom_site_fract_y
_atom_site_fract_z
_atom_site_occupancy
Zn1 0.0000 0.0000 0.0000 1
Zn2 0.0000 0.5000 0.2500 1
Te1 0.0000 0.5000 0.7500 1
P1 0.0000 0.0000 0.5000 1
# Crystal system = tetragonal
# ΔE_f (raw) = 328 meV/atom
# Electronic total energy = -2.79 eV/atom



Record 19
# YZr2Ni (PBEsol, optimized geometry)
data_YZr2Ni
_cell_length_a 3.2261
_cell_length_b 3.2261
_cell_length_c 7.9930
_cell_angle_alpha 90.00
_cell_angle_beta 90.00
_cell_angle_gamma 90.00
_symmetry_space_group_name_H-M 'P 4 m m'
_symmetry_Int_Tables_number 99
loop_
_symmetry_equiv_pos_as_xyz
'x,y,z'
'-y,x,z'
'-x,-y,z'
'y,-x,z'
'-x,y,z'
'y,x,z'
'x,-y,z'
'-y,-x,z'
loop_
_atom_site_label
_atom_site_fract_x
_atom_site_fract_y
_atom_site_fract_z
_atom_site_occupancy
Y1 0.0000 0.0000 0.0000 1
Zr1 0.0000 0.0000 0.5874 1
Zr2 0.5000 0.5000 0.3265 1
Ni1 0.5000 0.5000 0.7611 1
# Crystal system = tetragonal
# Energy relative to the elements = -0.162 eV per atom
# Electronic total energy = -7.95 eV/atom



Record 20
# CrNi6W (PBEsol, optimized geometry)
data_CrNi6W
_cell_length_a 7.1169
_cell_length_b 10.0504
_cell_length_c 10.0613
_cell_angle_alpha 90.00
_cell_angle_beta 90.00
_cell_angle_gamma 90.00
_symmetry_space_group_name_H-M 'C m m m'
_symmetry_Int_Tables_number 65
_symmetry_space_group_name_Hall '-C 2 2'
loop_
_atom_site_label
_atom_site_fract_x
_atom_site_fract_y
_atom_site_fract_z
_atom_site_occupancy
Cr1 0.0000 0.0000 0.2444 1
Cr2 0.0000 0.2513 0.0000 1
Ni1 0.0000 0.0000 0.0000 1
Ni2 0.0000 0.0000 0.5000 1
Ni3 0.0000 0.2501 0.2516 1
Ni4 0.0000 0.5000 0.0000 1
Ni5 0.0000 0.5000 0.5000 1
Ni6 0.2488 0.3750 0.1252 1
Ni7 0.2505 0.1246 0.3754 1
W1 0.0000 0.2510 0.5000 1
W2 0.0000 0.5000 0.2435 1
# Crystal system = orthorhombic
# Energy relative to the elements = -0.001 eV per atom
# Electronic total energy = -7.63 eV/atom